# 1
{"formula": "CsScBiCl6", "functional": "GGA-PBE", "state": "optimized geometry", "cell": [[-0.426, -7.799, -0.945], [1.598, -4.670, 5.127], [-7.067, -0.404, 2.231]], "species": ["Cs", "Sc", "Bi", "Cl", "Cl", "Cl", "Cl", "Cl", "Cl"], "fractional_positions": [[0.017, 0.965, 0.000], [0.676, 0.649, 0.500], [0.328, 0.344, 0.500], [0.935, 0.393, 0.282], [0.378, 0.980, 0.692], [0.673, 0.391, 0.717], [0.950, 0.648, 0.673], [0.402, 0.649, 0.327], [0.642, 0.981, 0.309]]}

---

# 2
{"formula": "Cs2SiBiCl6", "functional": "GGA-PBE", "state": "optimized geometry", "cell": [[7.678, 0.000, 0.000], [0.000, 7.678, 0.000], [3.839, 3.839, 5.455]], "species": ["Cs", "Cs", "Si", "Bi", "Cl", "Cl", "Cl", "Cl", "Cl", "Cl"], "fractional_positions": [[0.750, 0.250, 0.500], [0.250, 0.750, 0.500], [0.500, 0.500, 0.000], [0.000, 0.000, 0.000], [0.262, 0.262, 0.476], [0.738, 0.738, 0.524], [0.262, 0.262, 0.000], [0.738, 0.738, 0.000], [0.738, 0.262, 0.000], [0.262, 0.738, 0.000]]}

---

# 3
{"formula": "CsSnBi2Cl8", "functional": "GGA-PBE", "state": "optimized geometry", "cell": [[-7.479, -0.908, -0.194], [-3.063, -5.047, -4.685], [-2.945, -7.974, 4.452]], "species": ["Cs", "Sn", "Bi", "Bi", "Cl", "Cl", "Cl", "Cl", "Cl", "Cl", "Cl", "Cl"], "fractional_positions": [[0.500, 0.500, 0.500], [0.000, 0.000, 0.000], [0.293, 0.293, 0.121], [0.707, 0.707, 0.879], [0.194, 0.194, 0.417], [0.643, 0.311, 0.156], [0.806, 0.806, 0.583], [0.890, 0.643, 0.156], [0.110, 0.357, 0.844], [0.311, 0.890, 0.156], [0.689, 0.110, 0.844], [0.357, 0.689, 0.844]]}

---

# 4
{"formula": "CsSrBiCl6", "functional": "GGA-PBE", "state": "optimized geometry", "cell": [[-3.496, 5.776, -3.208], [-5.284, -1.219, -5.144], [-5.248, -0.162, 5.429]], "species": ["Cs", "Sr", "Bi", "Cl", "Cl", "Cl", "Cl", "Cl", "Cl"], "fractional_positions": [[0.000, 0.000, 0.000], [0.667, 0.667, 0.500], [0.333, 0.333, 0.500], [0.017, 0.367, 0.291], [0.367, 0.017, 0.709], [0.616, 0.367, 0.709], [0.017, 0.616, 0.709], [0.367, 0.616, 0.291], [0.616, 0.017, 0.291]]}

---

Number 1: final energy -4.068 eV/atom, uncorrected formation energy -1.6071 eV/atom. Number 2: final energy -3.394 eV/atom, uncorrected formation energy -1.1849 eV/atom. Number 3: final energy -3.292 eV/atom, uncorrected formation energy -1.0094 eV/atom. Number 4: final energy -3.696 eV/atom, uncorrected formation energy -1.7525 eV/atom.